{
  "formula": "AcVSe4",
  "functional": "PBE-GGA",
  "state": "optimized geometry",
  "lattice_angstrom": [[-4.4981, 1.5751, 0.7942], [-2.5925, -6.7588, -1.2790], [3.1051, -2.7818, 8.4063]],
  "species": ["Ac", "Ac", "V", "V", "Se", "Se", "Se", "Se", "Se", "Se", "Se", "Se"],
  "frac_coords": [[0.8491, 0.8538, 0.6983], [0.1509, 0.3538, 0.3017], [0.5926, 0.7859, 0.1853], [0.4074, 0.2859, 0.8147], [0.9159, 0.2491, 0.8319], [0.0841, 0.7491, 0.1681], [0.4646, 0.9044, 0.9291], [0.5354, 0.4044, 0.0709], [0.7099, 0.5829, 0.4197], [0.2901, 0.0829, 0.5803], [0.6535, 0.0574, 0.3070], [0.3465, 0.5574, 0.6930]],
  "e_form_raw_ev_per_atom": -1.01
}

***

{
  "formula": "LiNiGeAs",
  "functional": "PBE-GGA",
  "state": "optimized geometry",
  "lattice_angstrom": [[-1.6216, 2.3560, 3.2665], [-4.2837, 0.0772, 0.7031], [-1.6635, -1.9799, 3.4875]],
  "species": ["Ni", "As", "Ge", "Li"],
  "frac_coords": [[0.7500, 0.7500, 0.7500], [0.5000, 0.5000, 0.5000], [0.0000, 0.0000, 0.0000], [0.2500, 0.2500, 0.2500]],
  "formation_energy_kcal_per_mol_atoms": -4.5
}

***

{
  "formula": "AlTeWN2",
  "functional": "PBE-GGA",
  "state": "optimized geometry",
  "lattice_angstrom": [[3.9621, 0.0000, 0.0000], [0.0000, 3.9621, 0.0000], [0.0000, 0.0000, 5.7067]],
  "species": ["Te", "Al", "W", "N", "N"],
  "frac_coords": [[0.0000, 0.0000, 0.5000], [0.5000, 0.5000, 0.5000], [0.0000, 0.0000, 0.0000], [0.0000, 0.5000, 0.0000], [0.5000, 0.0000, 0.0000]],
  "polymorph_energy_ev_per_atom": 0.000,
  "e_form_raw_ev_per_atom": 0.41
}

***

{
  "formula": "Y2TeAs2",
  "functional": "PBE-GGA",
  "state": "optimized geometry",
  "lattice_angstrom": [[4.0392, 0.0000, 0.0000], [0.0000, 4.0392, 0.0000], [2.0196, 2.0196, 7.7018]],
  "species": ["Y", "Y", "As", "As", "Te"],
  "frac_coords": [[0.3860, 0.3860, 0.2281], [0.6140, 0.6140, 0.7719], [0.7500, 0.2500, 0.5000], [0.2500, 0.7500, 0.5000], [0.0000, 0.0000, 0.0000]],
  "polymorph_energy_ev_per_atom": 0.070,
  "e_form_raw_ev_per_atom": -1.06
}

***

{
  "formula": "GaCoPtRh",
  "functional": "PBE-GGA",
  "state": "optimized geometry",
  "lattice_angstrom": [[-0.8176, -2.5289, -3.3556], [0.6498, -4.2210, 0.2923], [-3.3384, -2.6776, 0.1010]],
  "species": ["Co", "Rh", "Ga", "Pt"],
  "frac_coords": [[0.0000, 0.0000, 0.0000], [0.2500, 0.2500, 0.2500], [0.5000, 0.5000, 0.5000], [0.7500, 0.7500, 0.7500]],
  "formation_energy_kcal_per_mol_atoms": -6.5
}

***

{
  "formula": "Sm4DyGa5",
  "functional": "PBE-GGA",
  "state": "optimized geometry",
  "lattice_angstrom": [[3.6295, 0.0000, 0.0000], [0.0000, 3.6295, 0.0000], [0.0000, 0.0000, 18.1756]],
  "species": ["Sm", "Sm", "Sm", "Sm", "Dy", "Ga", "Ga", "Ga", "Ga", "Ga"],
  "frac_coords": [[0.0000, 0.0000, 0.1966], [0.0000, 0.0000, 0.3989], [0.0000, 0.0000, 0.6011], [0.0000, 0.0000, 0.8034], [0.0000, 0.0000, 0.0000], [0.5000, 0.5000, 0.0944], [0.5000, 0.5000, 0.2978], [0.5000, 0.5000, 0.5000], [0.5000, 0.5000, 0.7022], [0.5000, 0.5000, 0.9056]],
  "formation_energy_kcal_per_mol_atoms": -13.3
}

***

{
  "formula": "ZnGaSb",
  "functional": "PBE-GGA",
  "state": "optimized geometry",
  "lattice_angstrom": [[3.2393, 0.0000, 0.0000], [0.0000, 3.2393, 0.0000], [-1.6197, -1.6197, 6.1002]],
  "species": ["Sb", "Zn", "Ga"],
  "frac_coords": [[0.0075, 0.0075, 0.0149], [0.6783, 0.6783, 0.3567], [0.3142, 0.3142, 0.6284]],
  "e_form_raw_ev_per_atom": 0.14
}

***

How do the records compare in mass density? In the order shown, they have 6.124; 6.118; 6.792; 6.016; 12.773; 7.716; 6.664 g/cm3.